First-principles (PBE) data for a geometry-optimized LuPu2Al structure, as listed in Alexandria via LeMat-Bulk.

Energy above the lowest structure with this stoichiometry: 0 meV/atom
Crystal system: tetragonal
Raw total energy: -37.3 eV per cell

Lattice parameters (Å, degrees): 4.4167 4.4167 4.9371 90.00 90.00 90.00
Closest atoms and distances in Å follow each position.
Fractional coordinates of all 4 atoms:
Lu 0.0000 0.0000 0.0000  4 Al 3.12, 8 Pu 3.31
Pu 0.0000 0.5000 0.5000  4 Pu 3.12, 4 Al 3.31, 4 Lu 3.31
Pu 0.5000 0.0000 0.5000  4 Pu 3.12, 4 Al 3.31, 4 Lu 3.31
Al 0.5000 0.5000 0.0000  4 Lu 3.12, 8 Pu 3.31